[1]
Mg3ReAs, relaxed, DFT PBE; space-group type = Pm-3m, No. 221; distance to the lowest polymorph of the same formula = 158 meV per atom; energy of formation from the pure elements = 1.09 eV per atom; total DFT energy (no corrections) = -3.290 eV/atom; D(E_F) = 0.658 states/eV/atom
1.0
-0.243 4.610 -1.997
-4.998 -0.020 0.563
0.508 2.011 4.582
Mg As Re
3 1 1
Direct
0.000 0.000 0.500
0.500 0.000 0.000
0.000 0.500 0.000
0.500 0.500 0.500
0.000 0.000 0.000

[2]
MgRe2As, relaxed, DFT PBE; space-group type = Pmmm, No. 47; distance to the lowest polymorph of the same formula = 374 meV per atom; energy of formation from the pure elements = 0.46 eV per atom; total DFT energy (no corrections) = -7.328 eV/atom; D(E_F) = 0.807 states/eV/atom
1.0
3.172 0.000 0.000
0.000 4.324 0.000
0.000 0.000 4.659
Re Mg As
2 1 1
Direct
0.000 0.000 0.000
0.500 0.500 0.000
0.000 0.500 0.500
0.500 0.000 0.500

[3]
MgRe4As, relaxed, DFT PBE; space-group type = F-43m, No. 216; energy of formation from the pure elements = 0.53 eV per atom; total DFT energy (no corrections) = -8.808 eV/atom; D(E_F) = 0.674 states/eV/atom
1.0
-4.223 -3.109 -0.400
-1.707 -2.669 4.197
-4.507 1.374 2.335
As Re Mg
1 4 1
Direct
0.750 0.750 0.750
0.376 0.873 0.376
0.376 0.376 0.873
0.376 0.376 0.376
0.873 0.376 0.376
0.000 0.000 0.000

[4]
Mg2ReAs, relaxed, DFT PBE; space-group type = P4/mmm, No. 123; energy of formation from the pure elements = 0.23 eV per atom; total DFT energy (no corrections) = -4.845 eV/atom; D(E_F) = 0.528 states/eV/atom
1.0
3.536 0.000 0.000
0.000 3.536 0.000
0.000 0.000 5.362
Re Mg As
1 2 1
Direct
0.500 0.500 0.250
0.000 0.000 0.491
0.000 0.000 0.009
0.500 0.500 0.750

[5]
MgReAs2, relaxed, DFT PBE; space-group type = Pmmm, No. 47; energy of formation from the pure elements = 0.18 eV per atom; total DFT energy (no corrections) = -5.651 eV/atom; D(E_F) = 0.422 states/eV/atom
1.0
-3.575 1.372 -1.897
1.309 -0.705 -2.977
-1.930 -4.676 0.257
As Re Mg
2 1 1
Direct
0.000 0.750 0.010
0.000 0.750 0.490
0.500 0.750 0.750
0.500 0.250 0.250

[6]
MgReAs2, relaxed, DFT PBE; space-group type = P4mm, No. 99; energy of formation from the pure elements = 0.15 eV per atom; total DFT energy (no corrections) = -5.685 eV/atom; D(E_F) = 0.519 states/eV/atom
1.0
3.302 0.000 0.000
0.000 3.302 0.000
0.000 0.000 6.649
Re As Mg
1 2 1
Direct
0.500 0.500 0.751
0.000 0.000 0.921
0.500 0.500 0.319
0.000 0.000 0.508

[7]
Mg2ReAs, relaxed, DFT PBE; space-group type = I-42d, No. 122; energy of formation from the pure elements = 0.60 eV per atom; total DFT energy (no corrections) = -4.477 eV/atom; D(E_F) = 0.638 states/eV/atom
1.0
7.678 0.000 0.000
0.000 7.678 0.000
3.839 3.839 2.528
Mg As Re
4 2 2
Direct
0.148 0.625 0.250
0.875 0.852 0.750
0.375 0.398 0.750
0.602 0.125 0.250
0.250 0.750 0.500
0.500 0.500 0.000
0.000 0.000 0.000
0.750 0.250 0.500

[8]
MgReAs2, relaxed, DFT PBE; space-group type = Cmmm, No. 65; energy of formation from the pure elements = 0.31 eV per atom; total DFT energy (no corrections) = -5.521 eV/atom; D(E_F) = 0.611 states/eV/atom
1.0
-1.528 0.588 -2.589
2.850 -1.048 -0.405
-2.891 -7.830 -0.074
As Mg Re
2 1 1
Direct
0.000 0.000 0.981
0.000 0.000 0.519
0.500 0.500 0.250
0.500 0.500 0.750